{"formula": "Sr6MgHg2", "functional": "PBE", "state": "optimized geometry", "ef_ev_per_atom": -0.247, "lattice": [[-5.2117, -5.6668, 6.2981], [3.2957, -4.8245, -8.0501], [8.3876, 3.3375, 4.1774]], "species": ["Sr", "Sr", "Sr", "Sr", "Sr", "Sr", "Sr", "Sr", "Sr", "Sr", "Sr", "Sr", "Mg", "Mg", "Hg", "Hg", "Hg", "Hg"], "frac_coords": [[0.5294, 0.7101, 0.8193], [0.4706, 0.2899, 0.1807], [0.1093, 0.2899, 0.8193], [0.8907, 0.7101, 0.1807], [0.8081, 0.7563, 0.5644], [0.1919, 0.2437, 0.4356], [0.1919, 0.7563, 0.9482], [0.8081, 0.2437, 0.0518], [0.6926, 0.3543, 0.6617], [0.3074, 0.6457, 0.3383], [0.3074, 0.9691, 0.6617], [0.6926, 0.0309, 0.3383], [0.0000, 0.5000, 0.5000], [0.0000, 0.0000, 0.0000], [0.5000, 0.3671, 0.8671], [0.5000, 0.6329, 0.1329], [0.6819, 0.0000, 0.6819], [0.3181, 0.0000, 0.3181]]}